VASP calculation (PBE) on a relaxed structure of RbZrCdF7.

abc: 6.7433 10.8521 8.4029
angles: 90.00 90.00 90.00
Space group Cmcm (No. 63)
Symmetry-distinct sites (fractional):
1 Rb 0.0000 0.0000 0.0000 [4 per cell]
2 Zr 0.0000 0.3057 0.2500 [4 per cell]
3 Cd 0.0000 0.3058 0.7500 [4 per cell]
4 F 0.0000 0.2906 0.0108 [8 per cell]
5 F 0.0000 0.4928 0.2500 [4 per cell]
6 F 0.1782 0.1452 0.2500 [8 per cell]
7 F 0.2024 0.1364 0.7500 [8 per cell]

For the final energy, the calculation gives -218.1 eV for the cell shown.


VASP calculation (PBE) on a relaxed structure of CdSF.

abc: 4.9196 3.7346 5.9792
angles: 90.00 100.49 90.00
Space group P2/m (No. 10)
Symmetry-distinct sites (fractional):
1 Cd 0.0000 0.0000 0.0000 [1 per cell]
2 Cd 0.5000 0.5000 0.5000 [1 per cell]
3 S 0.1795 0.0000 0.6222 [2 per cell]
4 F 0.2689 0.5000 0.1311 [2 per cell]

For the final energy, the calculation gives -21.0 eV for the cell shown.


VASP calculation (PBE) on a relaxed structure of TlCdSF.

abc: 4.3470 4.3470 34.6054
angles: 90.00 90.00 120.00
Space group R-3m (No. 166, hexagonal axes)
Symmetry-distinct sites (fractional):
1 Tl 0.0000 0.0000 0.1214 [6 per cell]
2 Cd 0.0000 0.0000 0.2984 [6 per cell]
3 S 0.0000 0.0000 0.3784 [6 per cell]
4 F 0.0000 0.0000 0.1938 [6 per cell]

For the energy above the lowest structure with this stoichiometry, the calculation gives 0.0000 eV/atom.


VASP calculation (PBE) on a relaxed structure of TlCdSF.

abc: 6.7227 7.1089 7.2668
angles: 90.00 90.00 90.00
Space group P2_12_12_1 (No. 19)
Symmetry-distinct sites (fractional):
1 Tl 0.0604 0.1770 0.0746 [4 per cell]
2 Cd 0.0961 0.6747 0.9175 [4 per cell]
3 S 0.1671 0.4077 0.6849 [4 per cell]
4 F 0.1735 0.0578 0.4139 [4 per cell]

For the energy above the lowest structure with this stoichiometry, the calculation gives 0.0243 eV/atom.


VASP calculation (PBE) on a relaxed structure of TlCdSF.

abc: 5.8239 5.8336 9.5009
angles: 90.00 90.00 90.00
Space group Cmme (No. 67)
Symmetry-distinct sites (fractional):
1 Tl 0.2500 0.0000 0.0000 [4 per cell]
2 Cd 0.0000 0.2500 0.3716 [4 per cell]
3 S 0.0000 0.2500 0.7552 [4 per cell]
4 F 0.2500 0.0000 0.5000 [4 per cell]

For the energy above the lowest structure with this stoichiometry, the calculation gives 0.4201 eV/atom.


VASP calculation (PBE) on a relaxed structure of TlCdSF.

abc: 6.8023 7.2440 7.3796
angles: 90.00 90.00 90.00
Space group P2_12_12_1 (No. 19)
Symmetry-distinct sites (fractional):
1 Tl 0.0354 0.0124 0.1849 [4 per cell]
2 Cd 0.0147 0.6446 0.8189 [4 per cell]
3 S 0.1333 0.3406 0.9123 [4 per cell]
4 F 0.2099 0.2134 0.4437 [4 per cell]

For the energy above the lowest structure with this stoichiometry, the calculation gives 0.0366 eV/atom.